## SiAgP (PBE-GGA)

Data for SiAgP after structural relaxation.

Lattice parameters (Å, degrees): 4.930 4.930 4.930 147.18 126.68 64.04
Element x y z (fractional)
P1 0.363 0.363 0.000
Ag1 0.993 0.993 0.000
Si1 0.644 0.644 0.000

Output
Electronic total energy = -4.016 eV/atom
Offset from the most stable computed form = 462 meV/atom
V = 52 Å³ per cell
Calculated density = 5.381 g cm⁻³